Entry from Alexandria via LeMat-Bulk: an optimized crystal structure of Rb2NpV3O12 (GGA+U).

Properties
total DFT energy (no corrections) = -133.0 eV for the cell shown
theoretical density = 4.6 g cm⁻³

CIF file:
```
data_Rb2NpV3O12
_chemical_formula_sum 'Rb2 Np1 V3 O12'
_cell_length_a 7.419
_cell_length_b 7.419
_cell_length_c 7.419
_cell_angle_alpha 57.03
_cell_angle_beta 57.03
_cell_angle_gamma 57.03
_symmetry_space_group_name_H-M 'P 1'
_symmetry_Int_Tables_number 1
_symmetry_space_group_name_Hall 'P 1'
loop_
_atom_site_label
_atom_site_type_symbol
_atom_site_fract_x
_atom_site_fract_y
_atom_site_fract_z
O1 O 0.304 0.304 0.934
O2 O 0.696 0.066 0.696
Np1 Np 0.000 0.000 0.000
O3 O 0.669 0.070 0.070
V1 V 0.000 0.000 0.500
O4 O 0.930 0.331 0.930
V2 V 0.500 0.000 0.000
O5 O 0.930 0.930 0.331
O6 O 0.066 0.696 0.696
O7 O 0.331 0.930 0.930
Rb1 Rb 0.611 0.611 0.611
Rb2 Rb 0.389 0.389 0.389
O8 O 0.696 0.696 0.066
V3 V 0.000 0.500 0.000
O9 O 0.304 0.934 0.304
O10 O 0.070 0.669 0.070
O11 O 0.934 0.304 0.304
O12 O 0.070 0.070 0.669
```